VASP calculation (GGA-PBE) on an optimized crystal structure of ZrP2Br.

Formation energy (no corrections)   81.8 kJ/mol of formula units
Volume   18.69 A^3/atom
N(E_F)   2.35 states/eV/f.u.
Space-group type   No. 123
E above lowest polymorph   935 meV per atom

a b c (Å): 4.606 4.606 3.524
angles (deg): 90.00 90.00 90.00
Fractional positions:
Zr1 0.000 0.000 0.000
P1 0.000 0.500 0.500
P2 0.500 0.000 0.500
Br1 0.500 0.500 0.000